Entry 1:
The following is a PBE calculation of a geometry-optimized Zr2MnCu structure, from Alexandria via LeMat-Bulk.

Unit cell a=6.5130 b=6.5130 c=6.5130 alpha=90.00 beta=90.00 gamma=90.00
Last column: nearest neighbours and their distance in Å.
Space group F-43m (No. 216)
Symmetry-distinct sites (fractional):
Zr (0.0000, 0.0000, 0.0000) x4  4 Zr 2.82, 4 Mn 2.82
Zr (0.2500, 0.2500, 0.2500) x4  4 Zr 2.82, 4 Cu 2.82
Mn (0.2500, 0.2500, 0.7500) x4  4 Zr 2.82, 4 Cu 2.82
Cu (0.0000, 0.0000, 0.5000) x4  4 Zr 2.82, 4 Mn 2.82

Calculated values
Formation energy from the elements (kJ/mol of formula units): 53

***

Entry 2:
The following is a PBE calculation of a geometry-optimized Dy7Y2Th3 structure, from Alexandria via LeMat-Bulk.

Unit cell a=6.3512 b=3.4892 c=17.4336 alpha=90.00 beta=96.46 gamma=90.00
Last column: nearest neighbours and their distance in Å.
Space group P2/m (No. 10)
Symmetry-distinct sites (fractional):
Dy (0.0000, 0.0000, 0.0000) x1  8 Dy 3.49-3.58, 4 Th 3.62
Dy (0.2362, 0.5000, 0.1675) x2  1 Y 3.48, 8 Dy 3.49-3.71, 3 Th 3.53-3.61
Dy (0.2592, 0.5000, 0.5041) x2  2 Dy 3.08-3.28, 2 Y 3.37-3.44
Dy (0.2801, 0.0000, 0.8355) x2  7 Dy 3.49-3.71, 3 Th 3.51-3.62, 2 Y 3.53
Y (0.0435, 0.5000, 0.6720) x2  5 Dy 3.37-3.53, 2 Y 3.49, 4 Th 3.62-3.63
Th (0.4608, 0.0000, 0.3389) x2  2 Th 3.49, 7 Dy 3.55-3.72, 4 Y 3.62-3.63
Th (0.5000, 0.5000, 0.0000) x1  2 Th 3.49, 10 Dy 3.51-3.62

Calculated values
Formation energy from the elements (kJ/mol of formula units): 111

***

Entry 3:
The following is a PBE calculation of a geometry-optimized PaMnSi2Tc structure, from Alexandria via LeMat-Bulk.

Unit cell a=4.0290 b=4.0290 c=10.1649 alpha=90.00 beta=90.00 gamma=90.00
Last column: nearest neighbours and their distance in Å.
Space group I-4m2 (No. 119)
Symmetry-distinct sites (fractional):
Pa (0.0000, 0.0000, 0.0000) x2  8 Si 3.09, 4 Mn 3.24, 4 Tc 3.24
Mn (0.0000, 0.5000, 0.2500) x2  4 Si 2.42
Si (0.0000, 0.0000, 0.3816) x4  1 Si 2.41, 2 Mn 2.42, 2 Tc 2.42
Tc (0.0000, 0.5000, 0.7500) x2  4 Si 2.42

Calculated values
Formation energy without anion corrections (eV per formula unit): -2.88

***

Entry 4:
The following is a PBE calculation of a geometry-optimized ErLuInOs structure, from Alexandria via LeMat-Bulk.

Unit cell a=7.0241 b=7.0241 c=7.0241 alpha=90.00 beta=90.00 gamma=90.00
Last column: nearest neighbours and their distance in Å.
Space group F-43m (No. 216)
Symmetry-distinct sites (fractional):
Er (0.0000, 0.0000, 0.0000) x4  4 In 3.04, 4 Os 3.04
Lu (0.0000, 0.0000, 0.5000) x4  4 In 3.04, 4 Os 3.04
In (0.2500, 0.2500, 0.2500) x4  4 Er 3.04, 4 Lu 3.04
Os (0.2500, 0.2500, 0.7500) x4  4 Er 3.04, 4 Lu 3.04

Calculated values
Formation energy from the elements (kJ/mol of formula units): -110